Record 1
# GGA-PBE K2Ca2Ti, optimized geometry
# E_tot: -2.15 eV/atom
# Theoretical density: 1.4 g/cm³
# Polymorph energy (0 for the lowest one): 0.0 kJ per mole of atoms
# Energy of formation from the pure elements: 0.670 eV per atom
data_K2Ca2Ti
_symmetry_space_group_name_H-M 'P 4/m b m'
_symmetry_Int_Tables_number 127
_symmetry_space_group_name_Hall '-P 4 2ab'
_cell_length_a 8.405
_cell_length_b 8.405
_cell_length_c 6.849
_cell_angle_alpha 90.00
_cell_angle_beta 90.00
_cell_angle_gamma 90.00
loop_
_atom_site_label
_atom_site_type_symbol
_atom_site_fract_x
_atom_site_fract_y
_atom_site_fract_z
_atom_site_occupancy
K1 K 0.177 0.323 0.000 1
Ca1 Ca 0.163 0.663 0.500 1
Ti1 Ti 0.000 0.000 0.500 1

=====

Record 2
# GGA-PBE KCa2TiTl, optimized geometry
# E_tot: -1.80 eV/atom
# Theoretical density: 3.7 g/cm³
# Energy of formation from the pure elements: 1.272 eV per atom
data_KCa2TiTl
_symmetry_space_group_name_H-M 'P 4/m m m'
_symmetry_Int_Tables_number 123
_symmetry_space_group_name_Hall '-P 4 2'
_cell_length_a 5.764
_cell_length_b 5.764
_cell_length_c 5.025
_cell_angle_alpha 90.00
_cell_angle_beta 90.00
_cell_angle_gamma 90.00
loop_
_atom_site_label
_atom_site_type_symbol
_atom_site_fract_x
_atom_site_fract_y
_atom_site_fract_z
_atom_site_occupancy
K1 K 0.000 0.000 0.000 1
Ca1 Ca 0.000 0.500 0.000 1
Ti1 Ti 0.000 0.000 0.500 1
Tl1 Tl 0.500 0.500 0.500 1

=====

Record 3
# GGA-PBE K2CaTiV, optimized geometry
# E_tot: -3.10 eV/atom
# Theoretical density: 1.9 g/cm³
# Energy of formation from the pure elements: 1.140 eV per atom
data_K2CaTiV
_symmetry_space_group_name_H-M 'P 4/m m m'
_symmetry_Int_Tables_number 123
_symmetry_space_group_name_Hall '-P 4 2'
_cell_length_a 6.563
_cell_length_b 6.563
_cell_length_c 4.453
_cell_angle_alpha 90.00
_cell_angle_beta 90.00
_cell_angle_gamma 90.00
loop_
_atom_site_label
_atom_site_type_symbol
_atom_site_fract_x
_atom_site_fract_y
_atom_site_fract_z
_atom_site_occupancy
K1 K 0.000 0.500 0.000 1
Ca1 Ca 0.000 0.000 0.500 1
Ti1 Ti 0.500 0.500 0.500 1
V1 V 0.500 0.500 0.000 1